Entry 1:
DFT (PBE) results for a relaxed La10Tb4Ho crystal.

**Magnetization**: 0.000 μB per cell
**Energy of formation**: 0.637 eV per atom

Cell: 7.951 9.683 9.683 Å, 80.30 65.76 65.76°
Atoms (fractional coordinates):
La 0.250 0.500 0.500
La 0.651 0.299 0.899
La 0.050 0.101 0.299
La 0.450 0.899 0.701
La 0.850 0.701 0.101
La 0.349 0.701 0.101
La 0.750 0.500 0.500
La 0.150 0.299 0.899
La 0.550 0.101 0.299
La 0.950 0.899 0.701
Tb 0.400 0.801 0.400
Tb 0.800 0.600 0.801
Tb 0.200 0.400 0.199
Tb 0.600 0.199 0.600
Ho 0.000 0.000 0.000

=====

Entry 2:
DFT (PBE) results for a relaxed La2TbHo8 crystal.

**Magnetization**: 0.000 μB per cell
**Energy of formation**: 0.030 eV per atom

Cell: 5.059 7.985 9.446 Å, 104.73 105.53 90.00°
Atoms (fractional coordinates):
La 0.773 0.363 0.546
La 0.227 0.637 0.454
Tb 0.500 0.000 0.000
Ho 0.411 0.547 0.823
Ho 0.681 0.907 0.361
Ho 0.866 0.825 0.731
Ho 0.956 0.272 0.913
Ho 0.134 0.175 0.269
Ho 0.319 0.093 0.639
Ho 0.589 0.453 0.177
Ho 0.044 0.728 0.087

=====

Entry 3:
DFT (PBE) results for a relaxed La12Tb5Ho2 crystal.

**Distance to the lowest polymorph of the same formula**: 0.00 eV per formula unit
**Magnetization**: 0.000 μB per cell
**Energy of formation**: 0.122 eV per atom

Cell: 10.860 9.370 8.197 Å, 86.44 90.00 125.42°
Atoms (fractional coordinates):
La 0.874 0.749 0.099
La 0.041 0.637 0.790
La 0.597 0.637 0.790
La 0.166 0.785 0.385
La 0.619 0.785 0.385
La 0.445 0.889 0.714
La 0.555 0.111 0.286
La 0.834 0.215 0.615
La 0.381 0.215 0.615
La 0.959 0.363 0.210
La 0.403 0.363 0.210
La 0.126 0.251 0.901
Tb 0.240 0.480 0.514
Tb 0.342 0.685 0.098
Tb 0.000 0.000 0.500
Tb 0.658 0.315 0.902
Tb 0.760 0.520 0.486
Ho 0.724 0.000 0.000
Ho 0.276 0.000 0.000

=====

Entry 4:
DFT (PBE) results for a relaxed La3Tb2Ho crystal.

**Distance to the lowest polymorph of the same formula**: 0.00 eV per formula unit
**Magnetization**: 0.000 μB per cell
**Energy of formation**: 0.080 eV per atom

Cell: 10.202 10.202 10.202 Å, 145.99 135.38 57.26°
Atoms (fractional coordinates):
La 0.250 0.500 0.750
La 0.750 0.500 0.250
La 0.415 0.165 0.250
La 0.085 0.835 0.250
La 0.585 0.835 0.750
La 0.915 0.165 0.750
Tb 0.667 0.667 0.000
Tb 0.833 0.333 0.500
Tb 0.167 0.667 0.500
Tb 0.333 0.333 0.000
Ho 0.500 0.000 0.500
Ho 0.000 0.000 0.000

=====

Entry 5:
DFT (PBE) results for a relaxed La4Tb2Ho5 crystal.

**Distance to the lowest polymorph of the same formula**: 0.00 eV per formula unit
**Magnetization**: 0.000 μB per cell
**Energy of formation**: 0.047 eV per atom

Cell: 3.684 9.634 12.202 Å, 66.78 81.32 67.55°
Atoms (fractional coordinates):
La 0.202 0.116 0.364
La 0.669 0.290 0.082
La 0.798 0.884 0.636
La 0.331 0.710 0.918
Tb 0.837 0.552 0.221
Tb 0.163 0.448 0.779
Ho 0.995 0.130 0.749
Ho 0.005 0.870 0.251
Ho 0.591 0.658 0.502
Ho 0.500 0.000 0.000
Ho 0.409 0.342 0.498

=====

Entry 6:
DFT (PBE) results for a relaxed La6Tb2Ho5 crystal.

**Magnetization**: 0.000 μB per cell
**Energy of formation**: 0.113 eV per atom

Cell: 3.648 11.809 20.851 Å, 90.00 90.00 90.00°
Atoms (fractional coordinates):
La 0.000 0.081 0.366
La 0.000 0.919 0.634
La 0.000 0.581 0.134
La 0.000 0.419 0.866
La 0.500 0.326 0.134
La 0.500 0.674 0.866
La 0.500 0.826 0.366
La 0.500 0.174 0.634
La 0.000 0.558 0.420
La 0.000 0.442 0.580
La 0.000 0.058 0.080
La 0.000 0.942 0.920
Tb 0.000 0.336 0.290
Tb 0.000 0.664 0.710
Tb 0.000 0.836 0.210
Tb 0.000 0.164 0.790
Ho 0.500 0.300 0.443
Ho 0.500 0.700 0.557
Ho 0.500 0.800 0.057
Ho 0.500 0.200 0.943
Ho 0.500 0.595 0.274
Ho 0.500 0.405 0.726
Ho 0.500 0.095 0.226
Ho 0.500 0.905 0.774
Ho 0.500 0.500 0.000
Ho 0.500 0.000 0.500

=====

Entry 7:
DFT (PBE) results for a relaxed La5Tb6Ho2 crystal.

**Magnetization**: 0.000 μB per cell
**Energy of formation**: 0.092 eV per atom

Cell: 3.641 11.732 20.827 Å, 90.00 90.00 90.00°
Atoms (fractional coordinates):
La 0.500 0.301 0.450
La 0.500 0.699 0.550
La 0.500 0.801 0.050
La 0.500 0.199 0.950
La 0.500 0.579 0.272
La 0.500 0.421 0.728
La 0.500 0.079 0.228
La 0.500 0.921 0.772
La 0.500 0.500 0.000
La 0.500 0.000 0.500
Tb 0.000 0.080 0.369
Tb 0.000 0.920 0.631
Tb 0.000 0.580 0.131
Tb 0.000 0.420 0.869
Tb 0.500 0.324 0.140
Tb 0.500 0.676 0.860
Tb 0.500 0.824 0.360
Tb 0.500 0.176 0.640
Tb 0.000 0.563 0.419
Tb 0.000 0.437 0.581
Tb 0.000 0.063 0.081
Tb 0.000 0.937 0.919
Ho 0.000 0.325 0.289
Ho 0.000 0.675 0.711
Ho 0.000 0.825 0.211
Ho 0.000 0.175 0.789

=====

Entry 8:
DFT (PBE) results for a relaxed La2TbHo7 crystal.

**Distance to the lowest polymorph of the same formula**: 1.33 eV per formula unit
**Magnetization**: 0.000 μB per cell
**Energy of formation**: 0.160 eV per atom

Cell: 3.516 14.828 14.828 Å, 154.52 90.00 90.00°
Atoms (fractional coordinates):
La 0.500 0.707 0.293
La 0.500 0.293 0.707
Tb 0.000 0.000 0.000
Ho 0.000 0.817 0.183
Ho 0.000 0.183 0.817
Ho 0.500 0.148 0.342
Ho 0.500 0.852 0.658
Ho 0.500 0.342 0.148
Ho 0.500 0.658 0.852
Ho 0.500 0.500 0.500

=====

Entry 9:
DFT (PBE) results for a relaxed LaTb5Ho crystal.

**Distance to the lowest polymorph of the same formula**: 0.00 eV per formula unit
**Magnetization**: 0.000 μB per cell
**Energy of formation**: 0.192 eV per atom

Cell: 6.814 6.814 13.671 Å, 61.93 61.93 60.09°
Atoms (fractional coordinates):
La 0.720 0.280 0.750
La 0.280 0.720 0.250
Tb 0.157 0.398 0.753
Tb 0.647 0.693 0.500
Tb 0.398 0.157 0.253
Tb 0.157 0.843 0.750
Tb 0.307 0.353 0.000
Tb 0.693 0.647 0.000
Tb 0.843 0.157 0.250
Tb 0.602 0.843 0.747
Tb 0.353 0.307 0.500
Tb 0.843 0.602 0.247
Ho 0.000 0.000 0.000
Ho 0.000 0.000 0.500

=====

Entry 10:
DFT (PBE) results for a relaxed LaTb6Ho5 crystal.

**Magnetization**: 0.000 μB per cell
**Energy of formation**: 0.023 eV per atom

Cell: 6.164 7.973 7.973 Å, 84.19 82.51 82.51°
Atoms (fractional coordinates):
Tb 0.751 0.084 0.419
Tb 0.249 0.581 0.916
Tb 0.252 0.251 0.251
Tb 0.748 0.749 0.749
Tb 0.751 0.419 0.084
Tb 0.249 0.916 0.581
Ho 0.500 0.169 0.831
Ho 0.000 0.335 0.665
Ho 0.500 0.500 0.500
Ho 0.000 0.665 0.335
Ho 0.500 0.831 0.169
La 0.000 0.000 0.000

=====

Entry 11:
DFT (PBE) results for a relaxed LaTb6Ho3 crystal.

**Distance to the lowest polymorph of the same formula**: 0.00 eV per formula unit
**Magnetization**: 0.001 μB per cell
**Energy of formation**: 0.154 eV per atom

Cell: 6.204 11.000 11.000 Å, 119.61 90.00 90.00°
Atoms (fractional coordinates):
La 0.148 0.205 0.795
La 0.648 0.795 0.205
Tb 0.031 0.712 0.620
Tb 0.531 0.620 0.712
Tb 0.367 0.541 0.962
Tb 0.867 0.962 0.541
Tb 0.412 0.954 0.046
Tb 0.636 0.286 0.714
Tb 0.136 0.714 0.286
Tb 0.912 0.046 0.954
Tb 0.367 0.038 0.459
Tb 0.867 0.459 0.038
Tb 0.031 0.380 0.288
Tb 0.531 0.288 0.380
Ho 0.460 0.934 0.716
Ho 0.960 0.716 0.934
Ho 0.075 0.389 0.611
Ho 0.575 0.611 0.389
Ho 0.960 0.066 0.284
Ho 0.460 0.284 0.066

=====

Entry 12:
DFT (PBE) results for a relaxed LaTb3Ho5 crystal.

**Distance to the lowest polymorph of the same formula**: 0.00 eV per formula unit
**Magnetization**: 0.000 μB per cell
**Energy of formation**: 0.326 eV per atom

Cell: 6.036 10.037 11.177 Å, 111.33 90.00 107.50°
Atoms (fractional coordinates):
La 0.859 0.000 0.750
La 0.141 0.000 0.250
Tb 0.000 0.000 0.000
Tb 0.400 0.354 0.365
Tb 0.000 0.000 0.500
Tb 0.600 0.646 0.635
Tb 0.954 0.354 0.865
Tb 0.046 0.646 0.135
Ho 0.374 0.000 0.750
Ho 0.563 0.662 0.971
Ho 0.909 0.330 0.198
Ho 0.437 0.338 0.029
Ho 0.579 0.670 0.302
Ho 0.626 0.000 0.250
Ho 0.099 0.662 0.471
Ho 0.901 0.338 0.529
Ho 0.421 0.330 0.698
Ho 0.091 0.670 0.802